Computed, not measured: crystalline AlBr3 at its relaxed geometry at the PBE-GGA level of DFT.

Cell lengths 3.3510, 3.3510, 9.4656 Å; angles 90.00, 90.00, 90.00 degrees
Sites, in units of the cell vectors:
Al (0.0000, 0.0000, 0.0000)
Br (0.5000, 0.5000, 0.1712)
Br (0.5000, 0.5000, 0.8288)
Br (0.0000, 0.0000, 0.5000)

Values from the calculation:
**Crystal system**: tetragonal
**Total DFT energy (no corrections)**: -2.311 eV per atom
**Calculated volume**: 106.29 Å³ per cell
**M_tot**: 0.0001 μB/atom